The following is a GGA-PBE calculation of an optimized crystal structure of Pr6MgRh, from Alexandria via LeMat-Bulk.

Summary:
Total DFT energy (no corrections) (Ry/atom): -0.343
Density of states at the Fermi level (states/eV per cell): 9.86
V (Å³ per atom): 36.0

Geometry as CIF:
```
data_Pr6MgRh
_cell_length_a 7.024
_cell_length_b 7.037
_cell_length_c 7.846
_cell_angle_alpha 90.12
_cell_angle_beta 116.56
_cell_angle_gamma 119.89
_symmetry_space_group_name_H-M 'P -1'
_symmetry_Int_Tables_number 2
loop_
_symmetry_equiv_pos_as_xyz
'x,y,z'
'-x,-y,-z'
loop_
_atom_site_label
_atom_site_fract_x
_atom_site_fract_y
_atom_site_fract_z
_atom_site_occupancy
Pr1 0.045 0.076 0.243 1
Pr2 0.275 0.699 0.243 1
Pr3 0.331 0.531 0.757 1
Mg1 0.500 0.000 0.000 1
Rh1 0.500 0.500 0.500 1
```



The following is a GGA-PBE calculation of an optimized crystal structure of BePb2Br, from Alexandria via LeMat-Bulk.

Summary:
Density of states at the Fermi level (states/eV per cell): 11.87
V (Å³ per atom): 26.4
Uncorrected formation energy (meV/atom): 514.9
Energy above the most stable polymorph in this dataset (meV/atom): 403

Geometry as CIF:
```
data_BePb2Br
_cell_length_a 7.507
_cell_length_b 7.507
_cell_length_c 7.507
_cell_angle_alpha 90.00
_cell_angle_beta 90.00
_cell_angle_gamma 90.00
_symmetry_space_group_name_H-M 'F -4 3 m'
_symmetry_Int_Tables_number 216
_symmetry_space_group_name_Hall 'F -4 2 3'
loop_
_atom_site_label
_atom_site_fract_x
_atom_site_fract_y
_atom_site_fract_z
_atom_site_occupancy
Be1 0.000 0.000 0.000 1
Pb1 0.000 0.000 0.500 1
Pb2 0.250 0.250 0.250 1
Br1 0.250 0.250 0.750 1
```



The following is a GGA-PBE calculation of an optimized crystal structure of LaAlHg, from Alexandria via LeMat-Bulk.

Summary:
Total DFT energy (no corrections) (Ry/atom): -0.249
Density of states at the Fermi level (states/eV per cell): 13.11
V (Å³ per atom): 25.9

Geometry as CIF:
```
data_LaAlHg
_cell_length_a 11.303
_cell_length_b 4.453
_cell_length_c 6.170
_cell_angle_alpha 90.00
_cell_angle_beta 92.44
_cell_angle_gamma 90.00
_symmetry_space_group_name_H-M 'C 1 m 1'
_symmetry_Int_Tables_number 8
loop_
_symmetry_equiv_pos_as_xyz
'x,y,z'
'x,-y,z'
'x+1/2,y+1/2,z'
'x+1/2,-y+1/2,z'
loop_
_atom_site_label
_atom_site_fract_x
_atom_site_fract_y
_atom_site_fract_z
_atom_site_occupancy
La1 0.000 0.000 0.000 1
La2 0.112 0.500 0.491 1
Al1 0.207 0.500 0.013 1
Al2 0.298 0.000 0.237 1
Hg1 0.285 0.000 0.759 1
Hg2 0.407 0.500 0.485 1
```



The following is a GGA-PBE calculation of an optimized crystal structure of NiAs2P, from Alexandria via LeMat-Bulk.

Summary:
Total DFT energy (no corrections) (Ry/atom): -0.343
Density of states at the Fermi level (states/eV per cell): 3.31
V (Å³ per atom): 15.6

Geometry as CIF:
```
data_NiAs2P
_cell_length_a 4.313
_cell_length_b 4.313
_cell_length_c 6.690
_cell_angle_alpha 90.00
_cell_angle_beta 90.00
_cell_angle_gamma 90.00
_symmetry_space_group_name_H-M 'I -4 m 2'
_symmetry_Int_Tables_number 119
_symmetry_space_group_name_Hall 'I -4 -2'
loop_
_atom_site_label
_atom_site_fract_x
_atom_site_fract_y
_atom_site_fract_z
_atom_site_occupancy
Ni1 0.000 0.000 0.000 1
As1 0.000 0.000 0.500 1
As2 0.000 0.500 0.250 1
P1 0.000 0.500 0.750 1
```



The following is a GGA-PBE calculation of an optimized crystal structure of Yb6Pu, from Alexandria via LeMat-Bulk.

Summary:
Total DFT energy (no corrections) (Ry/atom): -0.162
Density of states at the Fermi level (states/eV per cell): 57.43
V (Å³ per atom): 56.6

Geometry as CIF:
```
data_Yb6Pu
_cell_length_a 9.255
_cell_length_b 9.255
_cell_length_c 9.255
_cell_angle_alpha 90.00
_cell_angle_beta 90.00
_cell_angle_gamma 90.00
_symmetry_space_group_name_H-M 'I m -3 m'
_symmetry_Int_Tables_number 229
_symmetry_space_group_name_Hall '-I 4 2 3'
loop_
_atom_site_label
_atom_site_fract_x
_atom_site_fract_y
_atom_site_fract_z
_atom_site_occupancy
Yb1 0.000 0.250 0.500 1
Pu1 0.000 0.000 0.000 1
```



The following is a GGA-PBE calculation of an optimized crystal structure of ErNbGaTc, from Alexandria via LeMat-Bulk.

Summary:
Total DFT energy (no corrections) (Ry/atom): -0.528
Density of states at the Fermi level (states/eV per cell): 9.46
V (Å³ per atom): 18.4

Geometry as CIF:
```
data_ErNbGaTc
_cell_length_a 6.651
_cell_length_b 6.651
_cell_length_c 6.651
_cell_angle_alpha 90.00
_cell_angle_beta 90.00
_cell_angle_gamma 90.00
_symmetry_space_group_name_H-M 'F -4 3 m'
_symmetry_Int_Tables_number 216
_symmetry_space_group_name_Hall 'F -4 2 3'
loop_
_atom_site_label
_atom_site_fract_x
_atom_site_fract_y
_atom_site_fract_z
_atom_site_occupancy
Er1 0.000 0.000 0.000 1
Nb1 0.000 0.000 0.500 1
Ga1 0.250 0.250 0.750 1
Tc1 0.250 0.250 0.250 1
```



The following is a GGA-PBE calculation of an optimized crystal structure of Mg2ScAg, from Alexandria via LeMat-Bulk.

Summary:
Total DFT energy (no corrections) (Ry/atom): -0.230
Density of states at the Fermi level (states/eV per cell): 6.47
V (Å³ per atom): 21.6

Geometry as CIF:
```
data_Mg2ScAg
_cell_length_a 5.521
_cell_length_b 3.185
_cell_length_c 9.988
_cell_angle_alpha 90.00
_cell_angle_beta 100.76
_cell_angle_gamma 90.00
_symmetry_space_group_name_H-M 'C 1 m 1'
_symmetry_Int_Tables_number 8
loop_
_symmetry_equiv_pos_as_xyz
'x,y,z'
'x,-y,z'
'x+1/2,y+1/2,z'
'x+1/2,-y+1/2,z'
loop_
_atom_site_label
_atom_site_fract_x
_atom_site_fract_y
_atom_site_fract_z
_atom_site_occupancy
Mg1 0.000 0.000 0.000 1
Mg2 0.180 0.000 0.539 1
Sc1 0.423 0.000 0.270 1
Ag1 0.090 0.500 0.770 1
```



The following is a GGA-PBE calculation of an optimized crystal structure of Tb4InRh, from Alexandria via LeMat-Bulk.

Summary:
Density of states at the Fermi level (states/eV per cell): 22.40
V (Å³ per atom): 27.8
Energy above the most stable polymorph in this dataset (meV/atom): 81

Geometry as CIF:
```
data_Tb4InRh
_cell_length_a 8.806
_cell_length_b 13.087
_cell_length_c 6.081
_cell_angle_alpha 90.00
_cell_angle_beta 107.55
_cell_angle_gamma 90.00
_symmetry_space_group_name_H-M 'C 1 2/c 1'
_symmetry_Int_Tables_number 15
loop_
_symmetry_equiv_pos_as_xyz
'x,y,z'
'-x,-y,-z'
'-x,y,-z+1/2'
'x,-y,z+1/2'
'x+1/2,y+1/2,z'
'-x+1/2,-y+1/2,-z'
'-x+1/2,y+1/2,-z+1/2'
'x+1/2,-y+1/2,z+1/2'
loop_
_atom_site_label
_atom_site_fract_x
_atom_site_fract_y
_atom_site_fract_z
_atom_site_occupancy
Tb1 0.110 0.170 0.050 1
Tb2 0.215 0.421 0.388 1
In1 0.000 0.377 0.750 1
Rh1 0.000 0.001 0.750 1
```



The following is a GGA-PBE calculation of an optimized crystal structure of Li7CdPt2, from Alexandria via LeMat-Bulk.

Summary:
Total DFT energy (no corrections) (Ry/atom): -0.204
Density of states at the Fermi level (states/eV per cell): 7.48
V (Å³ per atom): 21.5

Geometry as CIF:
```
data_Li7CdPt2
_cell_length_a 7.604
_cell_length_b 11.927
_cell_length_c 4.736
_cell_angle_alpha 90.00
_cell_angle_beta 90.00
_cell_angle_gamma 90.00
_symmetry_space_group_name_H-M 'C m m m'
_symmetry_Int_Tables_number 65
_symmetry_space_group_name_Hall '-C 2 2'
loop_
_atom_site_label
_atom_site_fract_x
_atom_site_fract_y
_atom_site_fract_z
_atom_site_occupancy
Li1 0.000 0.000 0.000 1
Li2 0.000 0.165 0.500 1
Li3 0.191 0.373 0.000 1
Cd1 0.000 0.500 0.500 1
Pt1 0.000 0.204 0.000 1
```



The following is a GGA-PBE calculation of an optimized crystal structure of CuMoPb, from Alexandria via LeMat-Bulk.

Summary:
Density of states at the Fermi level (states/eV per cell): 5.54
V (Å³ per atom): 19.4
Energy above the most stable polymorph in this dataset (meV/atom): 22

Geometry as CIF:
```
data_CuMoPb
_cell_length_a 2.942
_cell_length_b 2.942
_cell_length_c 13.416
_cell_angle_alpha 90.00
_cell_angle_beta 90.00
_cell_angle_gamma 90.00
_symmetry_space_group_name_H-M 'I 4 m m'
_symmetry_Int_Tables_number 107
_symmetry_space_group_name_Hall 'I 4 -2'
loop_
_atom_site_label
_atom_site_fract_x
_atom_site_fract_y
_atom_site_fract_z
_atom_site_occupancy
Cu1 0.000 0.000 0.000 1
Mo1 0.000 0.000 0.623 1
Pb1 0.000 0.000 0.302 1
```